1.
# LiCaCeCd | the Alexandria database | PBE-GGA | optimized geometry
data_LiCaCeCd
_chemical_formula_sum 'Li1 Ca1 Ce1 Cd1'
_cell_length_a 5.4210
_cell_length_b 5.4210
_cell_length_c 5.4210
_cell_angle_alpha 60.00
_cell_angle_beta 60.00
_cell_angle_gamma 60.00
_space_group_name_H-M_alt 'P 1'
_space_group_IT_number 1
loop_
_space_group_symop_operation_xyz
'x,y,z'
loop_
_atom_site_label
_atom_site_type_symbol
_atom_site_fract_x
_atom_site_fract_y
_atom_site_fract_z
Ca1 Ca 0.0000 0.0000 0.0000
Li1 Li 0.2500 0.2500 0.2500
Ce1 Ce 0.5000 0.5000 0.5000
Cd1 Cd 0.7500 0.7500 0.7500
# **Density**: 4.416 g cm⁻³
# **DOS(E_F)**: 8.43 states/eV per cell
# **Energy relative to the elements**: -0.04 eV per atom
# **Space group**: F-43m


2.
# CaCeMgCd | the Alexandria database | PBE-GGA | optimized geometry
data_CaCeMgCd
_chemical_formula_sum 'Ca1 Ce1 Mg1 Cd1'
_cell_length_a 5.4591
_cell_length_b 5.4591
_cell_length_c 5.4591
_cell_angle_alpha 60.00
_cell_angle_beta 60.00
_cell_angle_gamma 60.00
_space_group_name_H-M_alt 'P 1'
_space_group_IT_number 1
loop_
_space_group_symop_operation_xyz
'x,y,z'
loop_
_atom_site_label
_atom_site_type_symbol
_atom_site_fract_x
_atom_site_fract_y
_atom_site_fract_z
Ca1 Ca 0.0000 0.0000 0.0000
Mg1 Mg 0.7500 0.7500 0.7500
Ce1 Ce 0.5000 0.5000 0.5000
Cd1 Cd 0.2500 0.2500 0.2500
# **Density**: 4.574 g cm⁻³
# **DOS(E_F)**: 7.42 states/eV per cell
# **Energy relative to the elements**: -0.12 eV per atom
# **Space group**: F-43m


3.
# NaCaCeCd | the Alexandria database | PBE-GGA | optimized geometry
data_NaCaCeCd
_chemical_formula_sum 'Na1 Ca1 Ce1 Cd1'
_cell_length_a 5.5680
_cell_length_b 5.5680
_cell_length_c 5.5680
_cell_angle_alpha 60.00
_cell_angle_beta 60.00
_cell_angle_gamma 60.00
_space_group_name_H-M_alt 'P 1'
_space_group_IT_number 1
loop_
_space_group_symop_operation_xyz
'x,y,z'
loop_
_atom_site_label
_atom_site_type_symbol
_atom_site_fract_x
_atom_site_fract_y
_atom_site_fract_z
Na1 Na 0.2500 0.2500 0.2500
Ca1 Ca 0.0000 0.0000 0.0000
Ce1 Ce 0.5000 0.5000 0.5000
Cd1 Cd 0.7500 0.7500 0.7500
# **Density**: 4.293 g cm⁻³
# **DOS(E_F)**: 8.73 states/eV per cell
# **Energy relative to the elements**: 0.06 eV per atom
# **Space group**: F-43m


4.
# CaCeCdPb | the Alexandria database | PBE-GGA | optimized geometry
data_CaCeCdPb
_chemical_formula_sum 'Ca1 Ce1 Cd1 Pb1'
_cell_length_a 5.4948
_cell_length_b 5.4948
_cell_length_c 5.4948
_cell_angle_alpha 60.00
_cell_angle_beta 60.00
_cell_angle_gamma 60.00
_space_group_name_H-M_alt 'P 1'
_space_group_IT_number 1
loop_
_space_group_symop_operation_xyz
'x,y,z'
loop_
_atom_site_label
_atom_site_type_symbol
_atom_site_fract_x
_atom_site_fract_y
_atom_site_fract_z
Pb1 Pb 0.2500 0.2500 0.2500
Ca1 Ca 0.0000 0.0000 0.0000
Ce1 Ce 0.5000 0.5000 0.5000
Cd1 Cd 0.7500 0.7500 0.7500
# **Density**: 7.075 g cm⁻³
# **DOS(E_F)**: 8.77 states/eV per cell
# **Energy relative to the elements**: -0.37 eV per atom
# **Space group**: F-43m


5.
# CaCeCdPt | the Alexandria database | PBE-GGA | optimized geometry
data_CaCeCdPt
_chemical_formula_sum 'Ca1 Ce1 Cd1 Pt1'
_cell_length_a 5.1738
_cell_length_b 5.1738
_cell_length_c 5.1738
_cell_angle_alpha 60.00
_cell_angle_beta 60.00
_cell_angle_gamma 60.00
_space_group_name_H-M_alt 'P 1'
_space_group_IT_number 1
loop_
_space_group_symop_operation_xyz
'x,y,z'
loop_
_atom_site_label
_atom_site_type_symbol
_atom_site_fract_x
_atom_site_fract_y
_atom_site_fract_z
Ca1 Ca 0.5000 0.5000 0.5000
Ce1 Ce 0.0000 0.0000 0.0000
Pt1 Pt 0.7500 0.7500 0.7500
Cd1 Cd 0.2500 0.2500 0.2500
# **Density**: 8.270 g cm⁻³
# **DOS(E_F)**: 7.52 states/eV per cell
# **Energy relative to the elements**: -0.56 eV per atom
# **Space group**: F-43m


6.
# CaCeCdRh | the Alexandria database | PBE-GGA | optimized geometry
data_CaCeCdRh
_chemical_formula_sum 'Ca1 Ce1 Cd1 Rh1'
_cell_length_a 5.1273
_cell_length_b 5.1273
_cell_length_c 5.1273
_cell_angle_alpha 60.00
_cell_angle_beta 60.00
_cell_angle_gamma 60.00
_space_group_name_H-M_alt 'P 1'
_space_group_IT_number 1
loop_
_space_group_symop_operation_xyz
'x,y,z'
loop_
_atom_site_label
_atom_site_type_symbol
_atom_site_fract_x
_atom_site_fract_y
_atom_site_fract_z
Ca1 Ca 0.0000 0.0000 0.0000
Rh1 Rh 0.2500 0.2500 0.2500
Ce1 Ce 0.5000 0.5000 0.5000
Cd1 Cd 0.7500 0.7500 0.7500
# **Density**: 6.891 g cm⁻³
# **DOS(E_F)**: 7.65 states/eV per cell
# **Energy relative to the elements**: -0.31 eV per atom
# **Space group**: F-43m